Computed, not measured: a relaxed MnHgPO2 crystal at the PBE with a Hubbard U level of DFT.

Output
ΔE to the lowest computed polymorph   0 meV/atom
Total magnetization   2.5 μB per formula unit

abc: 3.746 3.746 5.386
angles: 90.00 90.00 90.00
Space group P4/mmm (No. 123)
One atom of each set of equivalent atoms:
Mn1 0.000 0.000 0.000 [1 per cell]
Hg1 0.500 0.500 0.500 [1 per cell]
P1 0.000 0.000 0.500 [1 per cell]
O1 0.000 0.500 0.000 [2 per cell]